Computed, not measured: a geometry-optimized SrInAg2Pd structure at the GGA-PBE level of DFT.

Unit cell a=4.158 b=4.522 c=7.042 alpha=108.73 beta=107.17 gamma=90.00
Fractional coordinates of all 5 atoms:
Sr 0.432 0.432 0.864
In 0.193 0.693 0.386
Ag 0.703 0.203 0.406
Ag 0.049 0.049 0.098
Pd 0.835 0.835 0.670

## Properties
E ... -3.403 eV/atom
Density of states at the Fermi level ... 2.08 states/eV per cell
Magnetic moment ... 0.0 μB/f.u.
Energy of formation from the pure elements ... -340 meV/atom